1.
Computed, not measured: BiSb2PO after structural relaxation at the PBE level of DFT.

Computed properties:
E (eV per cell): -14.394
D(E_F) (states/eV per cell): 9.34
Energy above the lowest structure with this stoichiometry (eV per formula unit): 6.707
Symmetry: P4/mmm
ΔE_f (raw) (eV/atom): 1.620

a b c (Å): 5.884 5.884 5.172
angles (deg): 90.00 90.00 90.00
Element x y z (fractional)
Bi1 0.000 0.000 0.000
Sb1 0.000 0.500 0.000
Sb2 0.500 0.000 0.000
P1 0.000 0.000 0.500
O1 0.500 0.500 0.500


2.
Computed, not measured: ZrTl2Br after structural relaxation at the PBE level of DFT.

Computed properties:
E (eV per cell): -15.720
D(E_F) (states/eV per cell): 1.39
Energy above the lowest structure with this stoichiometry (eV per formula unit): 0.821
Symmetry: Pm
ΔE_f (raw) (eV/atom): -0.192

a b c (Å): 3.549 4.955 6.116
angles (deg): 90.00 106.80 90.00
Element x y z (fractional)
Zr1 0.000 0.000 0.000
Tl1 0.401 0.500 0.803
Tl2 0.737 0.000 0.475
Br1 0.126 0.500 0.253